Computed, not measured: a geometry-optimized AcAgAs2O6 structure at the PBE level of DFT.

abc: 6.8888 6.8888 6.8888
angles: 49.08 49.08 49.08
Atoms (fractional coordinates):
Ac1 0.0000 0.0000 0.0000
Ag1 0.5000 0.5000 0.5000
As1 0.2163 0.2163 0.2163
As2 0.7837 0.7837 0.7837
O1 0.0309 0.7589 0.4595
O2 0.2411 0.5405 0.9691
O3 0.4595 0.0309 0.7589
O4 0.5405 0.9691 0.2411
O5 0.7589 0.4595 0.0309
O6 0.9691 0.2411 0.5405

Calculated values
E_form (uncorrected)	-1467	meV/atom
V	171	Å³/f.u.
space group	R-3, No. 148
uncorrected energy	-6.068	eV per atom